PrSm5Ga4 | Alexandria via LeMat-Bulk | GGA-PBE | relaxed; volume = 29.594 Å³ per atom; density = 6.57 g cm⁻³; formation enthalpy at 0 K = -299 meV per atom; ΔE to the lowest computed polymorph = 143.8 meV/atom
1.0
4.414 0.000 0.000
0.000 7.777 -0.169
-2.207 -1.319 8.650
Sm Ga Pr
5 4 1
Cartesian
2.207 4.695 5.085
0.000 1.762 3.397
0.000 5.402 2.285
2.207 1.055 6.196
2.207 3.888 -0.085
0.000 2.109 0.559
2.207 -0.450 3.449
2.207 4.348 7.923
0.000 6.908 5.032
2.207 0.000 0.000